Entry 1:
La2SiCl, PBEsol geometry, DFT SCAN; DOS(E_F) = 0.619 states/eV/atom; total moment = 0.194 μB/atom; V = 25.6 Å³ per atom; energy relative to the elements, uncorrected = -87 kJ per mole of atoms; space-group type = I-4m2 (119)
1.0
-2.117 2.117 5.699
2.117 -2.117 5.699
2.117 2.117 -5.699
La Si Cl
2 1 1
Cartesian
0.000 0.000 0.000
0.000 2.117 2.849
0.000 0.000 5.699
2.117 0.000 2.849

Entry 2:
ZnReSi2, PBEsol geometry, DFT SCAN; DOS(E_F) = 0.499 states/eV/atom; total moment = 0.000 μB/atom; V = 14.6 Å³ per atom; energy relative to the elements, uncorrected = 37 kJ per mole of atoms; space-group type = Cmmm (65)
1.0
1.555 -2.337 0.000
1.555 2.337 0.000
0.000 0.000 8.038
Zn Re Si
1 1 2
Cartesian
0.000 0.000 0.000
0.000 0.000 4.019
1.555 0.000 2.121
1.555 0.000 5.917

Entry 3:
Li2AlRe, PBEsol geometry, DFT SCAN; DOS(E_F) = 0.743 states/eV/atom; total moment = 0.000 μB/atom; ΔH_f (0 K) = 0.684 eV/atom; V = 14.0 Å³ per atom; space-group type = I-42d (122)
1.0
-3.365 3.365 2.465
3.365 -3.365 2.465
3.365 3.365 -2.465
Li Al Re
4 2 2
Cartesian
1.683 1.606 -0.616
1.759 -1.683 3.082
1.683 1.759 1.849
1.606 5.048 0.616
0.000 0.000 0.000
0.000 3.365 1.233
3.365 0.000 1.233
0.000 0.000 2.465

Entry 4:
LaTaW2S, PBEsol geometry, DFT SCAN; DOS(E_F) = 0.692 states/eV/atom; total moment = 0.000 μB/atom; V = 19.4 Å³ per atom; energy relative to the elements, uncorrected = 62 kJ per mole of atoms; space-group type = P4/mmm (123)
1.0
4.560 0.000 0.000
0.000 4.560 0.000
0.000 0.000 4.662
La Ta W S
1 1 2 1
Cartesian
0.000 0.000 0.000
2.280 2.280 0.000
0.000 2.280 2.331
2.280 0.000 2.331
2.280 2.280 2.331

Entry 5:
Y2SiPt, PBEsol geometry, DFT SCAN; DOS(E_F) = 0.485 states/eV/atom; total moment = 0.000 μB/atom; V = 23.6 Å³ per atom; energy relative to the elements, uncorrected = -84 kJ per mole of atoms; space-group type = P4mm (99)
1.0
4.047 0.000 0.000
0.000 4.047 0.000
0.000 0.000 5.757
Y Si Pt
2 1 1
Cartesian
0.000 0.000 0.000
2.023 2.023 2.844
2.023 2.023 5.724
0.000 0.000 2.874

Entry 6:
TcCl3, PBEsol geometry, DFT SCAN; DOS(E_F) = 0.159 states/eV/atom; total moment = 0.498 μB/atom; V = 24.7 Å³ per atom; energy relative to the elements, uncorrected = -47 kJ per mole of atoms; space-group type = Cmcm (63)
1.0
5.072 -6.158 0.000
5.072 6.158 0.000
0.000 0.000 3.162
Tc Cl
2 6
Cartesian
5.072 3.551 2.371
5.072 -3.551 0.790
1.533 1.692 2.371
1.533 -1.692 0.790
5.072 1.743 0.790
5.072 -1.743 2.371
8.611 1.692 2.371
8.611 -1.692 0.790

Entry 7:
FeMoCl2, PBEsol geometry, DFT SCAN; DOS(E_F) = 0.690 states/eV/atom; total moment = 0.538 μB/atom; V = 16.3 Å³ per atom; energy relative to the elements, uncorrected = -8 kJ per mole of atoms; space-group type = P4mm (99)
1.0
2.881 0.000 0.000
0.000 2.881 0.000
0.000 0.000 7.848
Fe Mo Cl
1 1 2
Cartesian
0.000 0.000 0.000
1.440 1.440 1.742
0.000 0.000 3.292
1.440 1.440 6.455

Entry 8:
TmCdRh2, PBEsol geometry, DFT SCAN; DOS(E_F) = 0.549 states/eV/atom; total moment = 0.000 μB/atom; ΔH_f (0 K) = -0.689 eV/atom; V = 16.9 Å³ per atom; space-group type = Fm-3m (225)
1.0
0.000 3.233 3.233
3.233 0.000 3.233
3.233 3.233 0.000
Tm Cd Rh
1 1 2
Cartesian
0.000 0.000 0.000
3.233 3.233 3.233
1.617 1.617 1.617
4.850 4.850 4.850

Entry 9:
KGa2SiS, PBEsol geometry, DFT SCAN; DOS(E_F) = 0.659 states/eV/atom; total moment = 0.000 μB/atom; V = 32.8 Å³ per atom; energy relative to the elements, uncorrected = 160 kJ per mole of atoms; space-group type = P4/mmm (123)
1.0
5.515 0.000 0.000
0.000 5.515 0.000
0.000 0.000 5.394
K Ga Si S
1 2 1 1
Cartesian
0.000 0.000 0.000
0.000 2.757 0.000
2.757 0.000 0.000
0.000 0.000 2.697
2.757 2.757 2.697

Entry 10:
ZrInSb2, PBEsol geometry, DFT SCAN; DOS(E_F) = 0.347 states/eV/atom; total moment = 0.000 μB/atom; V = 24.1 Å³ per atom; energy relative to the elements, uncorrected = -39 kJ per mole of atoms; space-group type = Amm2 (38)
1.0
4.307 0.000 0.000
0.000 1.981 5.651
0.000 -1.981 5.651
Zr In Sb
1 1 2
Cartesian
0.000 0.000 0.000
2.154 0.000 9.229
0.000 0.000 3.219
2.154 0.000 6.404

Entry 11:
Zr4SiSe, PBEsol geometry, DFT SCAN; DOS(E_F) = 0.652 states/eV/atom; total moment = 0.000 μB/atom; V = 20.5 Å³ per atom; energy relative to the elements, uncorrected = 24 kJ per mole of atoms; space-group type = F-43m (216)
1.0
0.000 3.948 3.948
3.948 0.000 3.948
3.948 3.948 0.000
Zr Si Se
4 1 1
Cartesian
0.978 0.978 0.978
2.970 2.970 0.978
2.970 0.978 2.970
0.978 2.970 2.970
5.921 5.921 5.921
3.948 3.948 3.948

Entry 12:
ZnTc, PBEsol geometry, DFT SCAN; DOS(E_F) = 0.482 states/eV/atom; total moment = 0.000 μB/atom; ΔH_f (0 K) = 0.011 eV/atom; V = 13.6 Å³ per atom; space-group type = Pnma (62)
1.0
4.505 0.000 0.000
0.000 4.402 0.000
0.000 0.000 5.475
Zn Tc
4 4
Cartesian
0.338 1.101 0.699
1.914 3.302 3.436
2.591 1.101 2.038
4.167 3.302 4.776
0.256 1.101 3.432
1.996 3.302 0.694
2.509 1.101 4.780
4.249 3.302 2.043

Entry 13:
TlCd2, PBEsol geometry, DFT SCAN; DOS(E_F) = 0.425 states/eV/atom; total moment = 0.000 μB/atom; ΔH_f (0 K) = 0.124 eV/atom; V = 23.9 Å³ per atom; space-group type = P-62m (189)
1.0
8.872 0.000 0.000
-4.436 7.683 0.000
0.000 0.000 3.162
Tl Cd
3 6
Cartesian
0.000 0.000 0.000
0.000 5.122 1.581
4.436 2.561 1.581
-1.574 2.726 0.000
-3.056 5.293 1.581
1.380 2.390 1.581
3.148 0.000 0.000
2.862 4.957 0.000
6.112 0.000 1.581

Entry 14:
CsKCa3, PBEsol geometry, DFT SCAN; DOS(E_F) = 0.789 states/eV/atom; total moment = 0.784 μB/atom; ΔH_f (0 K) = 0.832 eV/atom; V = 55.2 Å³ per atom; space-group type = Pm-3m (221)
1.0
6.511 0.000 0.000
0.000 6.511 0.000
0.000 0.000 6.511
Cs K Ca
1 1 3
Cartesian
0.000 0.000 0.000
3.256 3.256 3.256
0.000 0.000 3.256
0.000 3.256 0.000
3.256 0.000 0.000

Entry 15:
ScTc2H, PBEsol geometry, DFT SCAN; DOS(E_F) = 1.525 states/eV/atom; total moment = 0.004 μB/atom; V = 13.2 Å³ per atom; space-group type = Fm-3m (225)
1.0
0.000 2.975 2.975
2.975 0.000 2.975
2.975 2.975 0.000
Sc Tc H
1 2 1
Cartesian
0.000 0.000 0.000
1.488 1.488 1.488
4.463 4.463 4.463
2.975 2.975 2.975

Entry 16:
Re2PRh, PBEsol geometry, DFT SCAN; DOS(E_F) = 0.732 states/eV/atom; total moment = 0.000 μB/atom; ΔH_f (0 K) = 0.361 eV/atom; V = 13.7 Å³ per atom; space-group type = Cmmm (65)
1.0
2.538 -3.851 0.000
2.538 3.851 0.000
0.000 0.000 2.808
Re P Rh
2 1 1
Cartesian
1.269 1.926 0.000
1.269 -1.926 0.000
0.000 0.000 1.404
2.538 0.000 1.404

Entry 17:
K3TcAs, PBEsol geometry, DFT SCAN; DOS(E_F) = 1.017 states/eV/atom; total moment = 1.001 μB/atom; ΔH_f (0 K) = 0.899 eV/atom; V = 48.5 Å³ per atom; space-group type = Pm-3m (221)
1.0
6.237 0.000 0.000
0.000 6.237 0.000
0.000 0.000 6.237
K Tc As
3 1 1
Cartesian
0.000 0.000 3.119
0.000 3.119 0.000
3.119 0.000 0.000
3.119 3.119 3.119
0.000 0.000 0.000

Entry 18:
Ca2MoAu, PBEsol geometry, DFT SCAN; DOS(E_F) = 0.828 states/eV/atom; total moment = 0.002 μB/atom; ΔH_f (0 K) = 0.481 eV/atom; V = 21.2 Å³ per atom; space-group type = C2/m (12)
1.0
5.065 -1.592 0.000
5.065 1.592 0.000
-1.468 0.000 5.254
Ca Mo Au
2 1 1
Cartesian
2.060 0.000 1.300
6.602 0.000 3.954
-0.734 0.000 2.627
5.065 0.000 0.000

Entry 19:
CdHg2Pt2, PBEsol geometry, DFT SCAN; DOS(E_F) = 0.550 states/eV/atom; total moment = 0.000 μB/atom; ΔH_f (0 K) = 0.151 eV/atom; V = 19.9 Å³ per atom; space-group type = I4/mmm (139)
1.0
-1.901 1.901 6.900
1.901 -1.901 6.900
1.901 1.901 -6.900
Cd Hg Pt
1 2 2
Cartesian
0.000 0.000 0.000
0.000 0.000 5.492
0.000 0.000 8.308
1.901 0.000 3.450
0.000 1.901 3.450

Entry 20:
LiB2Te, PBEsol geometry, DFT SCAN; DOS(E_F) = 0.449 states/eV/atom; total moment = 0.179 μB/atom; V = 17.2 Å³ per atom; energy relative to the elements, uncorrected = 119 kJ per mole of atoms; space-group type = I-42d (122)
1.0
-2.872 2.872 4.161
2.872 -2.872 4.161
2.872 2.872 -4.161
Li B Te
2 4 2
Cartesian
0.000 0.000 0.000
0.000 2.872 2.080
1.436 1.487 -1.040
4.257 1.436 1.040
1.436 1.385 3.121
-1.385 1.436 5.201
2.872 0.000 2.080
0.000 0.000 4.161

Entry 21:
Ba2TiHg, PBEsol geometry, DFT SCAN; DOS(E_F) = 1.687 states/eV/atom; total moment = 0.971 μB/atom; ΔH_f (0 K) = 0.214 eV/atom; V = 33.8 Å³ per atom; space-group type = Fm-3m (225)
1.0
0.000 4.072 4.072
4.072 0.000 4.072
4.072 4.072 0.000
Ba Ti Hg
2 1 1
Cartesian
2.036 2.036 2.036
6.108 6.108 6.108
0.000 0.000 0.000
4.072 4.072 4.072

Entry 22:
ZnNiAg2, PBEsol geometry, DFT SCAN; DOS(E_F) = 0.348 states/eV/atom; total moment = 0.000 μB/atom; ΔH_f (0 K) = 0.142 eV/atom; V = 14.4 Å³ per atom; space-group type = Immm (71)
1.0
-1.439 2.243 4.453
1.439 -2.243 4.453
1.439 2.243 -4.453
Zn Ni Ag
1 1 2
Cartesian
0.000 0.000 0.000
0.000 0.000 4.453
1.439 0.000 2.230
0.000 2.243 2.223

Entry 23:
La2Sn2Hg, PBEsol geometry, DFT SCAN; DOS(E_F) = 0.391 states/eV/atom; total moment = 0.000 μB/atom; ΔH_f (0 K) = -0.780 eV/atom; V = 28.5 Å³ per atom; space-group type = P4/mbm (127)
1.0
7.764 0.000 0.000
0.000 7.764 0.000
0.000 0.000 4.721
La Sn Hg
4 4 2
Cartesian
1.344 2.538 0.000
2.538 6.420 0.000
5.226 1.344 0.000
6.420 5.226 0.000
1.012 4.894 2.360
2.870 1.012 2.360
4.894 6.751 2.360
6.751 2.870 2.360
0.000 0.000 2.360
3.882 3.882 2.360

Entry 24:
ZnPtRh2, PBEsol geometry, DFT SCAN; DOS(E_F) = 0.678 states/eV/atom; total moment = 0.000 μB/atom; ΔH_f (0 K) = -0.241 eV/atom; V = 13.7 Å³ per atom; space-group type = I4/mmm (139)
1.0
-1.915 1.915 3.739
1.915 -1.915 3.739
1.915 1.915 -3.739
Zn Pt Rh
1 1 2
Cartesian
0.000 0.000 0.000
0.000 0.000 3.739
1.915 0.000 1.869
0.000 1.915 1.869

Entry 25:
KSr2Au, PBEsol geometry, DFT SCAN; DOS(E_F) = 1.329 states/eV/atom; total moment = 0.000 μB/atom; ΔH_f (0 K) = -0.153 eV/atom; V = 33.4 Å³ per atom; space-group type = Fm-3m (225)
1.0
0.000 4.058 4.058
4.058 0.000 4.058
4.058 4.058 0.000
K Sr Au
1 2 1
Cartesian
0.000 0.000 0.000
2.029 2.029 2.029
6.087 6.087 6.087
4.058 4.058 4.058

Entry 26:
AgSI2, PBEsol geometry, DFT SCAN; DOS(E_F) = 0.376 states/eV/atom; total moment = 0.000 μB/atom; V = 31.3 Å³ per atom; energy relative to the elements, uncorrected = 43 kJ per mole of atoms; space-group type = I-42d (122)
1.0
-2.760 2.760 8.211
2.760 -2.760 8.211
2.760 2.760 -8.211
Ag S I
2 2 4
Cartesian
0.000 0.000 0.000
0.000 2.760 4.106
2.760 0.000 4.106
0.000 0.000 8.211
1.380 -1.282 6.159
1.478 1.380 2.053
1.380 4.042 -2.053
1.282 1.380 10.264

Entry 27:
YCrOs2, PBEsol geometry, DFT SCAN; DOS(E_F) = 1.165 states/eV/atom; total moment = 0.000 μB/atom; ΔH_f (0 K) = 0.699 eV/atom; V = 15.5 Å³ per atom; space-group type = R3m (160)
1.0
1.387 0.801 9.332
-1.387 0.801 9.332
0.000 -1.601 9.332
Y Cr Os
1 1 2
Cartesian
0.000 0.000 0.000
0.000 0.000 6.782
0.000 0.000 14.131
0.000 0.000 21.290

no.,calculated total energy (eV/cell)
1,-107.82
2,-103.11
3,-161.78
4,-255.50
5,-139.36
6,-121.93
7,-69.32
8,-152.54
9,-52.39
10,-140.20
11,-151.42
12,-194.21
13,-398.44
14,-70.97
15,-83.32
16,-184.92
17,-75.74
18,-121.45
19,-306.38
20,-99.14
21,-162.44
22,-91.85
23,-460.24
24,-152.22
25,-122.65
26,-225.42
27,-187.19